Entry 1:
Crystalline Sr3BeP at its relaxed geometry. Source: Alexandria, functional PBE.

Computed properties:
DFT formation energy = -0.0485 eV per atom
E above lowest polymorph = 0 meV per atom

POSCAR file:
```
Sr3BeP
1.0
5.823 0.000 0.000
0.000 5.823 0.000
0.000 0.000 5.823
Sr Be P
3 1 1
Cartesian
0.000 0.000 2.912
0.000 2.912 0.000
2.912 0.000 0.000
2.912 2.912 2.912
0.000 0.000 0.000
```



Entry 2:
Crystalline La2WN6 at its relaxed geometry. Source: Alexandria, functional PBE.

Computed properties:
Formation energy without anion corrections = -47.0 meV per atom

POSCAR file:
```
La2WN6
1.0
5.320 -3.008 0.000
5.320 3.008 0.000
-0.298 0.000 3.840
La W N
2 1 6
Cartesian
1.750 0.000 0.846
8.592 0.000 2.995
5.171 0.000 1.920
3.867 1.395 1.184
5.320 1.124 0.000
6.474 1.395 2.656
3.867 -1.395 1.184
5.320 -1.124 0.000
6.474 -1.395 2.656
```